(1)
# Tm4Ga3Hg | Alexandria via LeMat-Bulk | PBE-GGA | relaxed
data_Tm4Ga3Hg
_chemical_formula_sum 'Tm4 Ga3 Hg1'
_symmetry_space_group_name_H-M 'P 1'
_symmetry_Int_Tables_number 1
_symmetry_space_group_name_Hall 'P 1'
_cell_length_a 4.1855
_cell_length_b 4.1622
_cell_length_c 10.9177
_cell_angle_alpha 90.00
_cell_angle_beta 90.00
_cell_angle_gamma 90.00
loop_
_atom_site_label
_atom_site_type_symbol
_atom_site_fract_x
_atom_site_fract_y
_atom_site_fract_z
Hg1 Hg 0.5000 0.5000 0.0840
Tm1 Tm 0.0000 0.5000 0.8539
Tm2 Tm 0.5000 0.0000 0.6388
Tm3 Tm 0.5000 0.5000 0.3661
Tm4 Tm 0.0000 0.0000 0.1454
Ga1 Ga 0.5000 0.0000 0.9106
Ga2 Ga 0.0000 0.0000 0.4255
Ga3 Ga 0.0000 0.5000 0.5757
# SG   Pmm2 (25)
# Density   9477 kg/m3
# Crystal system   orthorhombic
# Formation energy   -0.55 eV per atom
# Energy   -3.959 eV/atom

=====

(2)
# ZnBi3Sb | Alexandria via LeMat-Bulk | PBE-GGA | relaxed
data_ZnBi3Sb
_chemical_formula_sum 'Zn1 Bi3 Sb1'
_symmetry_space_group_name_H-M 'P 1'
_symmetry_Int_Tables_number 1
_symmetry_space_group_name_Hall 'P 1'
_cell_length_a 5.8955
_cell_length_b 5.8955
_cell_length_c 5.8955
_cell_angle_alpha 90.00
_cell_angle_beta 90.00
_cell_angle_gamma 90.00
loop_
_atom_site_label
_atom_site_type_symbol
_atom_site_fract_x
_atom_site_fract_y
_atom_site_fract_z
Bi1 Bi 0.0000 0.0000 0.5000
Bi2 Bi 0.5000 0.0000 0.0000
Bi3 Bi 0.0000 0.5000 0.0000
Zn1 Zn 0.5000 0.5000 0.5000
Sb1 Sb 0.0000 0.0000 0.0000
# SG   Pm-3m (221)
# Density   6597 kg/m3
# Crystal system   cubic
# Formation energy from raw total energies   0.81 eV/atom
# E above lowest polymorph   1.58 eV/f.u.
# Energy   -2.599 eV/atom

=====

(3)
# AgAsIO2 | Alexandria via LeMat-Bulk | PBE-GGA | relaxed
data_AgAsIO2
_chemical_formula_sum 'Ag1 As1 I1 O2'
_symmetry_space_group_name_H-M 'P 1'
_symmetry_Int_Tables_number 1
_symmetry_space_group_name_Hall 'P 1'
_cell_length_a 3.8993
_cell_length_b 3.8993
_cell_length_c 6.5154
_cell_angle_alpha 90.00
_cell_angle_beta 90.00
_cell_angle_gamma 90.00
loop_
_atom_site_label
_atom_site_type_symbol
_atom_site_fract_x
_atom_site_fract_y
_atom_site_fract_z
As1 As 0.0000 0.0000 0.0000
O1 O 0.5000 0.0000 0.0000
O2 O 0.0000 0.5000 0.0000
Ag1 Ag 0.5000 0.5000 0.5000
I1 I 0.0000 0.0000 0.5000
# SG   P4/mmm (123)
# Density   5728 kg/m3
# Crystal system   tetragonal
# Formation energy from raw total energies   -0.22 eV/atom
# E above lowest polymorph   1.85 eV/f.u.
# Energy   -4.009 eV/atom

=====

(4)
# Sm3Ho4Tl | Alexandria via LeMat-Bulk | PBE-GGA | relaxed
data_Sm3Ho4Tl
_chemical_formula_sum 'Sm6 Ho8 Tl2'
_symmetry_space_group_name_H-M 'P 1'
_symmetry_Int_Tables_number 1
_symmetry_space_group_name_Hall 'P 1'
_cell_length_a 6.2135
_cell_length_b 7.0731
_cell_length_c 11.2438
_cell_angle_alpha 90.00
_cell_angle_beta 90.00
_cell_angle_gamma 90.00
loop_
_atom_site_label
_atom_site_type_symbol
_atom_site_fract_x
_atom_site_fract_y
_atom_site_fract_z
Ho1 Ho 0.4892 0.8762 0.2602
Ho2 Ho 0.9892 0.1238 0.7602
Ho3 Ho 0.1663 0.8792 0.0000
Ho4 Ho 0.9892 0.1238 0.2398
Ho5 Ho 0.6437 0.1286 0.0000
Ho6 Ho 0.6663 0.1208 0.5000
Ho7 Ho 0.1437 0.8714 0.5000
Ho8 Ho 0.4892 0.8762 0.7398
Sm1 Sm 0.6263 0.6292 0.0000
Sm2 Sm 0.9737 0.6159 0.2377
Sm3 Sm 0.1263 0.3708 0.5000
Sm4 Sm 0.9737 0.6159 0.7623
Sm5 Sm 0.4737 0.3841 0.7377
Sm6 Sm 0.4737 0.3841 0.2623
Tl1 Tl 0.1531 0.3645 0.0000
Tl2 Tl 0.6531 0.6355 0.5000
# SG   Pmn2_1 (31)
# Density   8839 kg/m3
# Crystal system   orthorhombic
# E above lowest polymorph   0.00 eV/f.u.
# Formation energy   -0.08 eV per atom
# Energy   -4.430 eV/atom